No. 1
A relaxed LiFe2Mo crystal. Source: the Alexandria database, functional GGA-PBE.

Computed properties:
- DOS(E_F) (states/eV/cell) = 3.54
- polymorph energy (0 for the lowest one) (meV/atom) = 117

Geometry as CIF:
```
data_LiFe2Mo
_cell_length_a 2.518
_cell_length_b 3.865
_cell_length_c 5.196
_cell_angle_alpha 90.00
_cell_angle_beta 90.00
_cell_angle_gamma 90.00
_space_group_name_H-M_alt 'P m m m'
_space_group_IT_number 47
loop_
_space_group_symop_operation_xyz
'x,y,z'
'-x,-y,-z'
'-x,-y,z'
'x,y,-z'
'x,-y,-z'
'-x,y,z'
'-x,y,-z'
'x,-y,z'
loop_
_atom_site_label
_atom_site_type_symbol
_atom_site_fract_x
_atom_site_fract_y
_atom_site_fract_z
Li1 Li 0.000 0.000 0.000
Fe1 Fe 0.500 0.500 0.235
Mo1 Mo 0.000 0.000 0.500
```

No. 2
A relaxed V6GaH3 crystal. Source: the Alexandria database, functional GGA-PBE.

Computed properties:
- DOS(E_F) (states/eV/cell) = 21.94
- E (eV per atom) = -6.81

Geometry as CIF:
```
data_V6GaH3
_cell_length_a 5.1989
_cell_length_b 5.1989
_cell_length_c 13.2894
_cell_angle_alpha 90.00
_cell_angle_beta 90.00
_cell_angle_gamma 120.00
_space_group_name_H-M_alt 'R 3'
_space_group_IT_number 146
_space_group_name_Hall 'R 3'
loop_
_atom_site_label
_atom_site_type_symbol
_atom_site_fract_x
_atom_site_fract_y
_atom_site_fract_z
V1 V 0.0030 0.3420 0.0000
V2 V 0.0047 0.5212 0.5011
Ga1 Ga 0.0000 0.0000 0.5022
H1 H 0.0000 0.0000 0.0750
H2 H 0.0000 0.0000 0.2635
H3 H 0.0000 0.0000 0.7374
```

No. 3
A relaxed PuTi2H crystal. Source: the Alexandria database, functional GGA-PBE.

Computed properties:
- DOS(E_F) (states/eV/cell) = 23.01
- polymorph energy (0 for the lowest one) (meV/atom) = 103

Geometry as CIF:
```
data_PuTi2H
_cell_length_a 2.8970
_cell_length_b 2.8970
_cell_length_c 24.0712
_cell_angle_alpha 90.00
_cell_angle_beta 90.00
_cell_angle_gamma 120.00
_space_group_name_H-M_alt 'R -3 m'
_space_group_IT_number 166
_space_group_name_Hall '-R 3 2"'
loop_
_atom_site_label
_atom_site_type_symbol
_atom_site_fract_x
_atom_site_fract_y
_atom_site_fract_z
Pu1 Pu 0.0000 0.0000 0.0000
Ti1 Ti 0.0000 0.0000 0.1162
H1 H 0.0000 0.0000 0.5000
```